VASP calculation (PBE) on crystalline DyGeAsO at its relaxed geometry.

a = 4.189 Å, b = 5.827 Å, c = 6.088 Å
α = 90.00°, β = 90.00°, γ = 90.00°
Positions (direct):
Dy 0.000 0.242 0.000
Dy 0.000 0.758 0.500
Ge 0.500 0.371 0.385
Ge 0.500 0.629 0.885
As 0.500 0.068 0.699
As 0.500 0.932 0.199
O 0.000 0.424 0.320
O 0.000 0.576 0.820

Output
SG	Pmc2_1
total moment	0.0	Bohr magnetons per cell
polymorph energy (0 for the lowest one)	172	meV/atom

=====

VASP calculation (PBE) on crystalline Ho5Tl4Au at its relaxed geometry.

a = 3.593 Å, b = 3.593 Å, c = 20.143 Å
α = 90.00°, β = 90.00°, γ = 90.00°
Positions (direct):
Ho 0.000 0.000 0.000
Ho 0.000 0.000 0.207
Ho 0.000 0.000 0.414
Ho 0.000 0.000 0.586
Ho 0.000 0.000 0.793
Tl 0.500 0.500 0.103
Tl 0.500 0.500 0.309
Tl 0.500 0.500 0.691
Tl 0.500 0.500 0.897
Au 0.500 0.500 0.500

Output
SG	P4/mmm
total moment	0.0	Bohr magnetons per cell
total energy	-40.0	eV/cell

=====

VASP calculation (PBE) on crystalline RbHfHg3S4 at its relaxed geometry.

a = 6.864 Å, b = 6.864 Å, c = 6.864 Å
α = 90.00°, β = 90.00°, γ = 90.00°
Positions (direct):
Rb 0.000 0.000 0.000
Hf 0.500 0.500 0.500
Hg 0.000 0.500 0.500
Hg 0.500 0.000 0.500
Hg 0.500 0.500 0.000
S 0.296 0.296 0.296
S 0.296 0.704 0.704
S 0.704 0.296 0.704
S 0.704 0.704 0.296

Output
SG	P-43m
total moment	0.0	Bohr magnetons per cell
polymorph energy (0 for the lowest one)	131	meV/atom

=====

VASP calculation (PBE) on crystalline ZrSeSBr2 at its relaxed geometry.

a = 6.896 Å, b = 7.083 Å, c = 7.845 Å
α = 69.03°, β = 69.33°, γ = 60.96°
Positions (direct):
Zr 0.140 0.218 0.000
Zr 0.860 0.782 0.000
Se 0.057 0.582 0.695
Se 0.943 0.418 0.305
S 0.236 0.474 0.096
S 0.764 0.526 0.904
Br 0.167 0.980 0.777
Br 0.413 0.860 0.224
Br 0.587 0.140 0.776
Br 0.833 0.020 0.223

Output
SG	P-1
total moment	0.0	Bohr magnetons per cell
polymorph energy (0 for the lowest one)	0	meV/atom

=====

VASP calculation (PBE) on crystalline ZnHPt3 at its relaxed geometry.

a = 5.654 Å, b = 5.654 Å, c = 5.654 Å
α = 119.98°, β = 90.26°, γ = 119.73°
Positions (direct):
Zn 0.250 0.000 0.250
Zn 0.750 0.000 0.750
H 0.000 0.500 0.500
H 0.500 0.500 0.000
Pt 0.237 0.000 0.737
Pt 0.237 0.500 0.237
Pt 0.275 0.525 0.750
Pt 0.725 0.475 0.250
Pt 0.763 0.000 0.263
Pt 0.763 0.500 0.763

Output
SG	Imma
total moment	0.0	Bohr magnetons per cell
total energy	-47.5	eV/cell

=====

VASP calculation (PBE) on crystalline FeTcSbOs at its relaxed geometry.

a = 4.412 Å, b = 4.412 Å, c = 4.412 Å
α = 60.00°, β = 60.00°, γ = 60.00°
Positions (direct):
Fe 0.000 0.000 0.000
Tc 0.500 0.500 0.500
Sb 0.750 0.750 0.750
Os 0.250 0.250 0.250

Output
SG	F-43m
total moment	2.1	Bohr magnetons per cell
total energy	-32.3	eV/cell

=====

VASP calculation (PBE) on crystalline Hf4CoB3 at its relaxed geometry.

a = 3.372 Å, b = 3.372 Å, c = 24.207 Å
α = 90.00°, β = 90.00°, γ = 120.00°
Positions (direct):
Hf 0.000 0.000 0.174
Hf 0.000 0.000 0.326
Hf 0.000 0.000 0.674
Hf 0.000 0.000 0.826
Hf 0.333 0.667 0.059
Hf 0.333 0.667 0.441
Hf 0.667 0.333 0.559
Hf 0.667 0.333 0.941
Co 0.333 0.667 0.250
Co 0.667 0.333 0.750
B 0.000 0.000 0.000
B 0.000 0.000 0.500
B 0.333 0.667 0.618
B 0.333 0.667 0.882
B 0.667 0.333 0.118
B 0.667 0.333 0.382

Output
SG	P6_3/mmc
total moment	2.0	Bohr magnetons per cell
total energy	-138.7	eV/cell

=====

VASP calculation (PBE) on crystalline ErTeAsO at its relaxed geometry.

a = 5.549 Å, b = 5.549 Å, c = 5.254 Å
α = 90.00°, β = 90.00°, γ = 90.00°
Positions (direct):
Er 0.250 0.750 0.000
Er 0.750 0.250 0.000
Te 0.250 0.250 0.404
Te 0.750 0.750 0.596
As 0.250 0.250 0.896
As 0.750 0.750 0.104
O 0.250 0.750 0.500
O 0.750 0.250 0.500

Output
SG	P4/nmm
total moment	0.0	Bohr magnetons per cell
polymorph energy (0 for the lowest one)	626	meV/atom

=====

VASP calculation (PBE) on crystalline AgTePO at its relaxed geometry.

a = 3.579 Å, b = 6.610 Å, c = 6.872 Å
α = 90.00°, β = 90.00°, γ = 90.00°
Positions (direct):
Ag 0.000 0.175 0.000
Ag 0.000 0.825 0.500
Te 0.500 0.386 0.521
Te 0.500 0.614 0.021
P 0.000 0.173 0.353
P 0.000 0.827 0.853
O 0.500 0.276 0.780
O 0.500 0.724 0.280

Output
SG	Pmc2_1
polymorph energy (0 for the lowest one)	0	meV/atom

=====

VASP calculation (PBE) on crystalline Pr2SiGe at its relaxed geometry.

a = 4.042 Å, b = 8.335 Å, c = 6.012 Å
α = 90.00°, β = 90.00°, γ = 90.00°
Positions (direct):
Pr 0.000 0.068 0.000
Pr 0.000 0.571 0.732
Pr 0.500 0.429 0.232
Pr 0.500 0.932 0.500
Si 0.000 0.213 0.487
Si 0.500 0.787 0.987
Ge 0.000 0.713 0.243
Ge 0.500 0.287 0.743

Output
SG	Pmn2_1
total moment	0.0	Bohr magnetons per cell
total energy	-45.5	eV/cell